No. 1
A relaxed ScTaRe crystal, computed with PBEsol.

Cell and atoms, written as extended XYZ:
```
3
Lattice="-1.612 1.612 5.077 1.612 -1.612 5.077 1.612 1.612 -5.077" Properties=species:S:1:pos:R:3 pbc="T T T"
Sc 0.000 0.000 0.000
Ta 0.000 0.000 7.075
Re 0.000 0.000 3.344
```

Computed properties:
Energy relative to the elements ... -9 kJ per mole of atoms

***

No. 2
A relaxed ScReTc crystal, computed with PBEsol.

Cell and atoms, written as extended XYZ:
```
3
Lattice="4.376 0.000 0.000 -2.188 3.790 0.000 0.000 0.000 2.802" Properties=species:S:1:pos:R:3 pbc="T T T"
Sc 0.000 0.000 0.000
Re 2.188 1.263 1.034
Tc 0.000 2.527 1.854
```

Computed properties:
Distance to the lowest polymorph of the same formula ... 0 meV/atom
Energy relative to the elements ... -5 kJ per mole of atoms

***

No. 3
A relaxed ScReTc crystal, computed with PBEsol.

Cell and atoms, written as extended XYZ:
```
3
Lattice="0.000 2.264 6.685 1.554 0.000 6.685 1.554 2.264 0.000" Properties=species:S:1:pos:R:3 pbc="T T T"
Sc 0.000 0.000 0.000
Re 1.554 2.264 4.347
Tc 1.554 2.264 8.962
```

Computed properties:
Distance to the lowest polymorph of the same formula ... 139 meV/atom
Energy relative to the elements ... 9 kJ per mole of atoms

***

No. 4
A relaxed ScReTc2 crystal, computed with PBEsol.

Cell and atoms, written as extended XYZ:
```
4
Lattice="0.000 3.103 3.103 3.103 0.000 3.103 3.103 3.103 0.000" Properties=species:S:1:pos:R:3 pbc="T T T"
Sc 0.000 0.000 0.000
Re 3.103 3.103 3.103
Tc 1.551 1.551 1.551
Tc 4.654 4.654 4.654
```

Computed properties:
Energy relative to the elements ... -18 kJ per mole of atoms

***

No. 5
A relaxed ScRe2Tc crystal, computed with PBEsol.

Cell and atoms, written as extended XYZ:
```
4
Lattice="2.759 0.000 0.000 0.000 4.367 0.000 -0.921 0.000 5.049" Properties=species:S:1:pos:R:3 pbc="T T T"
Sc 0.000 0.000 0.000
Re 0.066 2.183 3.734
Re 0.920 0.000 2.522
Tc 1.840 2.183 1.231
```

Computed properties:
Distance to the lowest polymorph of the same formula ... 94 meV/atom
Energy relative to the elements ... 0 kJ per mole of atoms

***

No. 6
A relaxed ScRe2Tc crystal, computed with PBEsol.

Cell and atoms, written as extended XYZ:
```
4
Lattice="-1.544 2.191 4.497 1.544 -2.191 4.497 1.544 2.191 -4.497" Properties=species:S:1:pos:R:3 pbc="T T T"
Sc 0.000 0.000 0.000
Re 1.544 0.000 2.310
Re 0.000 2.191 2.187
Tc 0.000 0.000 4.497
```

Computed properties:
Distance to the lowest polymorph of the same formula ... 0 meV/atom
Energy relative to the elements ... -9 kJ per mole of atoms

***

Question: energy relative to the elements of number 3 (ScReTc)?
Answer: 9 kJ per mole of atoms

***

Question: energy relative to the elements of number 4 (ScReTc2)?
Answer: -18 kJ per mole of atoms